No. 1
Material: LaTaIn
Method: DFT, PBE-GGA
State: relaxed

Cell lengths 6.330, 6.330, 6.330 Å; angles 150.40, 142.14, 48.77 degrees
Fractional coordinates of all 3 atoms:
La 0.000 0.000 0.000
Ta 0.680 0.680 0.000
In 0.299 0.299 0.000

Values from the calculation:
- Fermi-level density of states (states/eV per cell) = 2.8
- crystal system = orthorhombic
- magnetic moment (Bohr magnetons per cell) = 0.00
- ΔH_f (0 K) (eV/atom) = 0.249
- space-group type = Imm2, No. 44
- energy above the most stable polymorph in this dataset (meV per atom) = 57

=====

No. 2
Material: LaTaIn
Method: DFT, PBE-GGA
State: relaxed

Cell lengths 5.120, 5.120, 5.120 Å; angles 60.00, 60.00, 60.00 degrees
Fractional coordinates of all 3 atoms:
La 0.000 0.000 0.000
Ta 0.750 0.750 0.750
In 0.250 0.250 0.250

Values from the calculation:
- Fermi-level density of states (states/eV per cell) = 3.4
- crystal system = cubic
- magnetic moment (Bohr magnetons per cell) = 2.62
- ΔH_f (0 K) (eV/atom) = 1.212
- space-group type = F-43m, No. 216
- energy above the most stable polymorph in this dataset (meV per atom) = 1020

=====

No. 3
Material: LaTaIn4
Method: DFT, PBE-GGA
State: relaxed

Cell lengths 5.898, 5.898, 5.898 Å; angles 60.00, 60.00, 60.00 degrees
Fractional coordinates of all 6 atoms:
La 0.000 0.000 0.000
Ta 0.750 0.750 0.750
In 0.376 0.376 0.376
In 0.376 0.376 0.873
In 0.376 0.873 0.376
In 0.873 0.376 0.376

Values from the calculation:
- Fermi-level density of states (states/eV per cell) = 2.6
- crystal system = cubic
- magnetic moment (Bohr magnetons per cell) = 0.00
- ΔH_f (0 K) (eV/atom) = 0.156
- space-group type = F-43m, No. 216

=====

No. 4
Material: LaTa2In
Method: DFT, PBE-GGA
State: relaxed

Cell lengths 3.073, 3.073, 10.318 Å; angles 90.00, 90.00, 111.48 degrees
Fractional coordinates of all 4 atoms:
La 0.000 0.000 0.000
Ta 0.000 0.000 0.523
Ta 0.500 0.500 0.727
In 0.500 0.500 0.286

Values from the calculation:
- Fermi-level density of states (states/eV per cell) = 3.7
- crystal system = orthorhombic
- magnetic moment (Bohr magnetons per cell) = 0.00
- ΔH_f (0 K) (eV/atom) = 0.200
- space-group type = Cmm2, No. 35

=====

No. 5
Material: LaTa2In
Method: DFT, PBE-GGA
State: relaxed

Cell lengths 4.932, 4.932, 6.850 Å; angles 94.63, 94.63, 35.77 degrees
Fractional coordinates of all 4 atoms:
La 0.000 0.000 0.000
Ta 0.512 0.512 0.465
Ta 0.773 0.773 0.304
In 0.251 0.251 0.689

Values from the calculation:
- Fermi-level density of states (states/eV per cell) = 4.8
- crystal system = monoclinic
- magnetic moment (Bohr magnetons per cell) = 0.00
- ΔH_f (0 K) (eV/atom) = 0.359
- space-group type = Cm, No. 8

=====

No. 6
Material: LaTa2VIn
Method: DFT, PBE-GGA
State: relaxed

Cell lengths 4.798, 4.798, 5.177 Å; angles 90.00, 90.00, 90.00 degrees
Fractional coordinates of all 5 atoms:
La 0.000 0.000 0.000
Ta 0.000 0.500 0.500
Ta 0.500 0.000 0.500
V 0.000 0.000 0.500
In 0.500 0.500 0.000

Values from the calculation:
- Fermi-level density of states (states/eV per cell) = 7.3
- crystal system = tetragonal
- magnetic moment (Bohr magnetons per cell) = 0.00
- ΔH_f (0 K) (eV/atom) = 0.910
- space-group type = P4/mmm, No. 123

=====

No. 7
Material: LaTaIn2W
Method: DFT, PBE-GGA
State: relaxed

Cell lengths 5.547, 5.547, 4.973 Å; angles 90.00, 90.00, 90.00 degrees
Fractional coordinates of all 5 atoms:
La 0.000 0.000 0.000
Ta 0.000 0.000 0.500
In 0.000 0.500 0.000
In 0.500 0.000 0.000
W 0.500 0.500 0.500

Values from the calculation:
- Fermi-level density of states (states/eV per cell) = 11.0
- crystal system = tetragonal
- magnetic moment (Bohr magnetons per cell) = 0.00
- ΔH_f (0 K) (eV/atom) = 2.658
- space-group type = P4/mmm, No. 123

=====

No. 8
Material: LaYTa2In
Method: DFT, PBE-GGA
State: relaxed

Cell lengths 5.037, 5.037, 5.771 Å; angles 90.00, 90.00, 90.00 degrees
Fractional coordinates of all 5 atoms:
La 0.000 0.000 0.000
Y 0.500 0.500 0.500
Ta 0.000 0.500 0.000
Ta 0.500 0.000 0.000
In 0.000 0.000 0.500

Values from the calculation:
- Fermi-level density of states (states/eV per cell) = 7.9
- crystal system = tetragonal
- magnetic moment (Bohr magnetons per cell) = 0.00
- ΔH_f (0 K) (eV/atom) = 1.552
- space-group type = P4/mmm, No. 123

=====

No. 9
Material: LaTa2ZnIn
Method: DFT, PBE-GGA
State: relaxed

Cell lengths 4.971, 4.971, 4.830 Å; angles 90.00, 90.00, 90.00 degrees
Fractional coordinates of all 5 atoms:
La 0.000 0.000 0.000
Ta 0.000 0.500 0.500
Ta 0.500 0.000 0.500
Zn 0.500 0.500 0.500
In 0.500 0.500 0.000

Values from the calculation:
- Fermi-level density of states (states/eV per cell) = 7.2
- crystal system = tetragonal
- magnetic moment (Bohr magnetons per cell) = 0.37
- ΔH_f (0 K) (eV/atom) = 0.846
- space-group type = P4/mmm, No. 123

=====

No. 10
Material: La6TbIn
Method: DFT, PBE-GGA
State: relaxed

Cell lengths 5.122, 5.122, 10.395 Å; angles 90.00, 90.00, 90.00 degrees
Fractional coordinates of all 8 atoms:
La 0.000 0.000 0.000
La 0.000 0.000 0.500
La 0.000 0.500 0.245
La 0.000 0.500 0.755
La 0.500 0.000 0.245
La 0.500 0.000 0.755
Tb 0.500 0.500 0.500
In 0.500 0.500 0.000

Values from the calculation:
- Fermi-level density of states (states/eV per cell) = 10.2
- crystal system = tetragonal
- magnetic moment (Bohr magnetons per cell) = 0.00
- ΔH_f (0 K) (eV/atom) = -0.132
- space-group type = P4/mmm, No. 123
- energy above the most stable polymorph in this dataset (meV per atom) = 0

=====

No. 11
Material: La3TbIn
Method: DFT, PBE-GGA
State: relaxed

Cell lengths 9.791, 6.826, 11.979 Å; angles 90.00, 122.40, 90.00 degrees
Fractional coordinates of all 20 atoms:
La 0.026 0.078 0.291
La 0.026 0.422 0.791
La 0.361 0.122 0.749
La 0.361 0.378 0.249
La 0.361 0.646 0.874
La 0.361 0.854 0.374
La 0.639 0.146 0.626
La 0.639 0.354 0.126
La 0.639 0.622 0.751
La 0.639 0.878 0.251
La 0.974 0.578 0.209
La 0.974 0.922 0.709
Tb 0.084 0.730 0.521
Tb 0.084 0.770 0.021
Tb 0.916 0.230 0.979
Tb 0.916 0.270 0.479
In 0.297 0.098 0.001
In 0.297 0.402 0.501
In 0.703 0.598 0.499
In 0.703 0.902 0.999

Values from the calculation:
- Fermi-level density of states (states/eV per cell) = 25.7
- crystal system = monoclinic
- magnetic moment (Bohr magnetons per cell) = 0.00
- ΔH_f (0 K) (eV/atom) = -0.128
- space-group type = P2_1/c, No. 14
- energy above the most stable polymorph in this dataset (meV per atom) = 74

=====

No. 12
Material: LaTbIn3
Method: DFT, PBE-GGA
State: relaxed

Cell lengths 12.355, 12.355, 12.355 Å; angles 152.64, 152.64, 39.08 degrees
Fractional coordinates of all 10 atoms:
La 0.000 0.000 0.000
La 0.750 0.250 0.500
Tb 0.417 0.417 0.000
Tb 0.583 0.583 0.000
In 0.042 0.542 0.500
In 0.376 0.128 0.248
In 0.458 0.958 0.500
In 0.872 0.120 0.248
In 0.872 0.624 0.752
In 0.880 0.128 0.752

Values from the calculation:
- Fermi-level density of states (states/eV per cell) = 8.2
- crystal system = tetragonal
- magnetic moment (Bohr magnetons per cell) = 0.00
- ΔH_f (0 K) (eV/atom) = 0.133
- space-group type = I-4m2, No. 119
- energy above the most stable polymorph in this dataset (meV per atom) = 606